P) The following is a PBE calculation of a relaxed structure of Ca2TmTl, from the Alexandria database.

abc: 4.837 4.837 5.198
angles: 90.00 90.00 90.00
Space group P4/mmm (No. 123)
One atom of each set of equivalent atoms:
Ca  0.000  0.500  0.000
Tm  0.000  0.000  0.500
Tl  0.500  0.500  0.500


Q) The following is a PBE calculation of a relaxed structure of Ca2TmTl, from the Alexandria database.

abc: 4.162 4.162 7.330
angles: 90.00 90.00 90.00
Space group P4/mmm (No. 123)
One atom of each set of equivalent atoms:
Ca  0.000  0.000  0.236
Tm  0.500  0.500  0.500
Tl  0.500  0.500  0.000


Ordering by calculated energy gives the sequence P), Q), with the first entry being the most stable.


P) The following is a PBE calculation of a relaxed structure of CaTlV3, from the Alexandria database.

abc: 4.531 4.531 4.531
angles: 90.00 90.00 90.00
Space group Pm-3m (No. 221)
One atom of each set of equivalent atoms:
Ca  0.000  0.000  0.000
Tl  0.500  0.500  0.500
V  0.000  0.000  0.500


Q) The following is a PBE calculation of a relaxed structure of CaTlV3, from the Alexandria database.

abc: 5.210 5.210 5.210
angles: 90.00 90.00 90.00
Space group Pm-3m (No. 221)
One atom of each set of equivalent atoms:
Ca  0.000  0.000  0.000
Tl  0.500  0.500  0.500
V  0.000  0.500  0.500


Ordering by calculated energy gives the sequence Q), P), with the first entry being the most stable.


P) The following is a PBE calculation of a relaxed structure of CaTlV2, from the Alexandria database.

abc: 7.007 7.007 7.007
angles: 90.00 90.00 90.00
Space group Fm-3m (No. 225)
One atom of each set of equivalent atoms:
Ca  0.000  0.000  0.000
Tl  0.000  0.000  0.500
V  0.250  0.250  0.250


Q) The following is a PBE calculation of a relaxed structure of CaTlV2, from the Alexandria database.

abc: 8.139 8.139 6.002
angles: 90.00 90.00 90.00
Space group I-42d (No. 122)
One atom of each set of equivalent atoms:
Ca  0.000  0.000  0.000
Tl  0.000  0.000  0.500
V  0.211  0.250  0.625


Ordering by calculated energy gives the sequence P), Q), with the first entry being the most stable.


P) The following is a PBE calculation of a relaxed structure of CaTlV2Zn, from the Alexandria database.

abc: 4.616 4.616 5.152
angles: 90.00 90.00 90.00
Space group P4/mmm (No. 123)
One atom of each set of equivalent atoms:
Ca  0.000  0.000  0.000
Tl  0.500  0.500  0.500
V  0.000  0.500  0.000
Zn  0.000  0.000  0.500


Q) The following is a PBE calculation of a relaxed structure of CaTlV2Zn, from the Alexandria database.

abc: 5.227 5.227 5.726
angles: 90.00 90.00 90.00
Space group P4/mmm (No. 123)
One atom of each set of equivalent atoms:
Ca  0.000  0.000  0.000
Tl  0.000  0.000  0.500
V  0.000  0.500  0.500
Zn  0.500  0.500  0.000


Ordering by calculated energy gives the sequence Q), P), with the first entry being the most stable.


P) The following is a PBE calculation of a relaxed structure of CaTl2W, from the Alexandria database.

abc: 3.136 4.926 6.136
angles: 90.00 90.00 90.00
Space group Pmm2 (No. 25)
One atom of each set of equivalent atoms:
Ca  0.000  0.000  0.000
Tl  0.000  0.000  0.522
Tl  0.500  0.500  0.238
W  0.500  0.500  0.746


Q) The following is a PBE calculation of a relaxed structure of CaTl2W, from the Alexandria database.

abc: 7.221 7.221 7.221
angles: 90.00 90.00 90.00
Space group Fm-3m (No. 225)
One atom of each set of equivalent atoms:
Ca  0.000  0.000  0.000
Tl  0.250  0.250  0.250
W  0.000  0.000  0.500


R) The following is a PBE calculation of a relaxed structure of CaTl2W, from the Alexandria database.

abc: 3.649 3.649 6.919
angles: 90.00 90.00 90.00
Space group P4/mmm (No. 123)
One atom of each set of equivalent atoms:
Ca  0.000  0.000  0.000
Tl  0.500  0.500  0.279
W  0.000  0.000  0.500


Ordering by calculated energy gives the sequence R), Q), P), with the first entry being the most stable.


P) The following is a PBE calculation of a relaxed structure of CaTl2W, from the Alexandria database.

abc: 3.105 3.105 9.983
angles: 90.00 90.00 90.00
Space group P4mm (No. 99)
One atom of each set of equivalent atoms:
Ca  0.000  0.000  0.000
Tl  0.000  0.000  0.545
Tl  0.500  0.500  0.271
W  0.500  0.500  0.772


Q) The following is a PBE calculation of a relaxed structure of CaTl2W, from the Alexandria database.

abc: 3.2653 3.2653 31.3994
angles: 90.00 90.00 120.00
Space group R3m (No. 160, hexagonal axes)
One atom of each set of equivalent atoms:
Ca  0.0000  0.0000  0.0000
Tl  0.0000  0.0000  0.5130
Tl  0.0000  0.0000  0.7577
W  0.0000  0.0000  0.2556


Ordering by calculated energy gives the sequence P), Q), with the first entry being the most stable.


P) The following is a PBE calculation of a relaxed structure of CaTl2W, from the Alexandria database.

abc: 9.985 3.100 6.104
angles: 90.00 97.77 90.00
Space group C2/m (No. 12)
One atom of each set of equivalent atoms:
Ca  0.000  0.000  0.000
Tl  0.243  0.000  0.723
W  0.000  0.500  0.500


Q) The following is a PBE calculation of a relaxed structure of CaTl2W, from the Alexandria database.

abc: 7.468 7.468 7.468
angles: 90.00 90.00 90.00
Space group F-43m (No. 216)
One atom of each set of equivalent atoms:
Ca  0.000  0.000  0.000
Tl  0.000  0.000  0.500
Tl  0.250  0.250  0.250
W  0.250  0.250  0.750


Ordering by calculated energy gives the sequence P), Q), with the first entry being the most stable.


P) The following is a PBE calculation of a relaxed structure of CaTl2W, from the Alexandria database.

abc: 3.932 4.935 9.912
angles: 90.00 90.00 90.00
Space group Cmm2 (No. 35)
One atom of each set of equivalent atoms:
Ca  0.000  0.000  0.000
Tl  0.000  0.000  0.457
Tl  0.000  0.500  0.721
W  0.000  0.500  0.233


Q) The following is a PBE calculation of a relaxed structure of CaTl2W, from the Alexandria database.

abc: 3.133 5.250 5.819
angles: 90.00 90.00 90.00
Space group Pmmm (No. 47)
One atom of each set of equivalent atoms:
Ca  0.000  0.000  0.000
Tl  0.000  0.500  0.500
Tl  0.500  0.500  0.000
W  0.500  0.000  0.500


Ordering by calculated energy gives the sequence P), Q), with the first entry being the most stable.


P) The following is a PBE calculation of a relaxed structure of CaTl2W, from the Alexandria database.

abc: 3.173 3.173 8.961
angles: 90.00 90.00 90.00
Space group P4/mmm (No. 123)
One atom of each set of equivalent atoms:
Ca  0.000  0.000  0.000
Tl  0.500  0.500  0.270
W  0.000  0.000  0.500


Q) The following is a PBE calculation of a relaxed structure of CaTl2W, from the Alexandria database.

abc: 11.192 3.051 5.444
angles: 90.00 93.39 90.00
Space group Cm (No. 8)
One atom of each set of equivalent atoms:
Ca  0.000  0.000  0.000
Tl  0.008  0.500  0.510
Tl  0.251  0.500  0.245
W  0.258  0.000  0.752


Ordering by calculated energy gives the sequence P), Q), with the first entry being the most stable.


P) The following is a PBE calculation of a relaxed structure of CaTl2W, from the Alexandria database.

abc: 4.782 4.782 3.979
angles: 90.00 90.00 90.00
Space group P4/mmm (No. 123)
One atom of each set of equivalent atoms:
Ca  0.000  0.000  0.000
Tl  0.000  0.500  0.500
W  0.500  0.500  0.000


Q) The following is a PBE calculation of a relaxed structure of CaTl2W, from the Alexandria database.

abc: 4.737 4.737 20.036
angles: 90.00 90.00 90.00
Space group I-42d (No. 122)
One atom of each set of equivalent atoms:
Ca  0.000  0.000  0.000
Tl  0.195  0.250  0.625
W  0.000  0.000  0.500


Ordering by calculated energy gives the sequence P), Q), with the first entry being the most stable.


P) The following is a PBE calculation of a relaxed structure of CaTl2W, from the Alexandria database.

abc: 6.367 9.008 3.121
angles: 90.00 90.00 90.00
Space group Cmmm (No. 65)
One atom of each set of equivalent atoms:
Ca  0.000  0.000  0.000
Tl  0.250  0.250  0.500
W  0.000  0.500  0.000


Q) The following is a PBE calculation of a relaxed structure of CaTl2W, from the Alexandria database.

abc: 3.083 5.454 5.627
angles: 90.00 94.94 90.00
Space group Pm (No. 6)
One atom of each set of equivalent atoms:
Ca  0.000  0.000  0.000
Tl  0.470  0.000  0.518
Tl  0.635  0.500  0.235
W  0.356  0.500  0.730


Ordering by calculated energy gives the sequence Q), P), with the first entry being the most stable.


P) The following is a PBE calculation of a relaxed structure of CaTlW2, from the Alexandria database.

abc: 5.826 10.388 2.856
angles: 90.00 113.17 90.00
Space group C2/m (No. 12)
One atom of each set of equivalent atoms:
Ca  0.000  0.000  0.000
Tl  0.000  0.500  0.000
W  0.250  0.250  0.500


Q) The following is a PBE calculation of a relaxed structure of CaTlW2, from the Alexandria database.

abc: 3.523 5.096 9.646
angles: 90.00 90.00 90.00
Space group Imm2 (No. 44)
One atom of each set of equivalent atoms:
Ca  0.000  0.000  0.000
Tl  0.000  0.500  0.220
W  0.000  0.000  0.453
W  0.000  0.500  0.772


Ordering by calculated energy gives the sequence Q), P), with the first entry being the most stable.